# 1
Computed, not measured: an optimized crystal structure of KSeI3 at the GGA-PBEsol level of DFT.

a b c (Å): 5.7723 5.7723 5.7723
angles (deg): 90.00 90.00 90.00
Space group Pm-3m (No. 221)
Unique sites:
K1 0.0000 0.0000 0.0000 x1
Se1 0.5000 0.5000 0.5000 x1
I1 0.0000 0.5000 0.5000 x3

density of states at the Fermi level = 0.668 states/eV per atom
formation energy without anion corrections = -0.55 eV per atom
V = 192.3 Å³ per cell


# 2
Computed, not measured: an optimized crystal structure of BaPbSe at the GGA-PBEsol level of DFT.

a b c (Å): 4.4185 4.4185 11.6130
angles (deg): 90.00 90.00 90.00
Space group I4mm (No. 107)
Unique sites:
Ba1 0.0000 0.0000 0.0000 x2
Pb1 0.0000 0.0000 0.6851 x2
Se1 0.0000 0.0000 0.4474 x2

density of states at the Fermi level = 0.419 states/eV per atom
formation energy without anion corrections = -0.83 eV per atom
V = 226.7 Å³ per cell


# 3
Computed, not measured: an optimized crystal structure of CaOsRuSe2 at the GGA-PBEsol level of DFT.

a b c (Å): 4.8715 4.8715 4.7098
angles (deg): 90.00 90.00 90.00
Space group P4/mmm (No. 123)
Unique sites:
Ca1 0.0000 0.0000 0.0000 x1
Os1 0.5000 0.5000 0.5000 x1
Ru1 0.5000 0.5000 0.0000 x1
Se1 0.0000 0.5000 0.5000 x2

density of states at the Fermi level = 1.593 states/eV per atom
relative energy among the computed polymorphs = 0.000 eV/f.u.
formation energy without anion corrections = 0.42 eV per atom
V = 111.8 Å³ per cell